Entry 1:
The following is a DFT calculation (PBE) of NdYTh2 after structural relaxation.

Results
- Total DFT energy (no corrections): -6.47 eV/atom
- ΔH_f (0 K): 0.053 eV/atom
- Distance to the lowest polymorph of the same formula: 24.6 meV per atom
- Spin magnetization: 0.000 μB/f.u.

The structure in extended XYZ format:
```
4
Lattice="-2.814 -2.190 0.426 0.505 -3.548 0.234 0.282 -0.991 11.915" Properties=species:S:1:pos:R:3 pbc="T T T"
Th -0.510 -1.685 3.107
Th 0.022 -1.219 9.021
Y -1.262 -4.820 12.302
Nd -1.008 -3.359 6.347
```

Entry 2:
The following is a DFT calculation (PBE) of HoAsHRh after structural relaxation.

Results
- Total DFT energy (no corrections): -5.86 eV/atom
- Spin magnetization: 0.000 μB/f.u.

The structure in extended XYZ format:
```
8
Lattice="-0.251 -0.775 -3.931 -3.670 -1.535 0.537 -2.905 6.561 -1.108" Properties=species:S:1:pos:R:3 pbc="T T T"
As -0.731 0.979 -2.196
As -4.135 4.427 -0.609
H -3.413 2.126 -2.251
H -1.453 3.280 -0.554
Ho -2.834 1.488 -0.112
Ho -2.032 3.918 -2.693
Rh -1.961 -1.155 -1.697
Rh 0.000 0.000 0.000
```

Entry 3:
The following is a DFT calculation (PBE) of BSeBr2F after structural relaxation.

Results
- Total DFT energy (no corrections): -2.56 eV/atom
- Distance to the lowest polymorph of the same formula: 0.0 meV per atom
- Formation energy from raw total energies: 2.59 eV per formula unit
- Spin magnetization: 0.000 μB/f.u.

The structure in extended XYZ format:
```
5
Lattice="-4.024 -1.461 1.861 2.047 -0.307 4.184 -1.097 4.088 0.837" Properties=species:S:1:pos:R:3 pbc="T T T"
F -1.537 1.160 3.441
Se -0.549 2.044 0.419
Br 1.023 -0.154 2.092
Br -2.012 -0.731 0.930
B 0.000 0.000 0.000
```

Entry 4:
The following is a DFT calculation (PBE) of Sr3GeO5 after structural relaxation.

Results
- Total DFT energy (no corrections): -6.36 eV/atom
- Distance to the lowest polymorph of the same formula: 33.6 meV per atom
- Formation energy from raw total energies: -22.77 eV per formula unit
- Spin magnetization: 0.000 μB/f.u.

The structure in extended XYZ format:
```
18
Lattice="-4.947 5.072 2.582 -1.718 -3.348 6.535 6.990 1.580 -2.346" Properties=species:S:1:pos:R:3 pbc="T T T"
Ge -0.687 -0.024 6.641
Ge -2.302 4.186 4.664
O 4.320 -0.370 1.814
O 1.410 4.176 1.612
O 1.545 0.463 2.413
O -2.496 3.171 6.105
O -0.490 0.988 5.198
O -4.903 1.269 6.708
O -1.571 0.406 2.149
O -2.677 3.333 3.155
O 2.133 1.975 -0.229
O -2.361 -0.542 6.906
Sr -0.372 -1.344 3.573
Sr -0.089 0.023 0.122
Sr -1.240 5.296 1.683
Sr 2.301 0.440 5.189
Sr -3.422 0.885 4.681
Sr -0.060 2.220 3.127
```

Entry 5:
The following is a DFT calculation (PBE) of CeU2Cr2C4 after structural relaxation.

Results
- Total DFT energy (no corrections): -9.50 eV/atom
- ΔH_f (0 K): -0.090 eV/atom
- Spin magnetization: 0.615 μB/f.u.

The structure in extended XYZ format:
```
9
Lattice="-2.602 -1.595 0.712 5.205 -4.720 1.552 -0.900 3.395 4.312" Properties=species:S:1:pos:R:3 pbc="T T T"
C 1.633 -1.820 1.892
C 0.069 -1.100 4.684
C -1.719 1.160 3.211
C 3.422 -4.080 3.366
Cr -0.808 0.617 5.322
Cr 2.511 -3.537 1.254
Ce 0.000 0.000 0.000
U 0.585 0.266 2.733
U 1.117 -3.186 3.843
```

Entry 6:
The following is a DFT calculation (PBE) of SrLa2Te after structural relaxation.

Results
- Total DFT energy (no corrections): -4.17 eV/atom
- Formation energy from raw total energies: -1.99 eV per formula unit
- Spin magnetization: 0.000 μB/f.u.

The structure in extended XYZ format:
```
4
Lattice="-5.955 -1.097 -0.374 0.664 -3.935 0.968 -0.480 0.623 5.816" Properties=species:S:1:pos:R:3 pbc="T T T"
La 0.134 -1.980 3.676
La 0.142 -2.989 6.500
Sr -2.932 -1.376 1.509
Te -2.839 -3.033 4.901
```

Entry 7:
The following is a DFT calculation (PBE) of Mo2RuI after structural relaxation.

Results
- Total DFT energy (no corrections): -7.28 eV/atom
- Distance to the lowest polymorph of the same formula: 0.0 meV per atom
- Formation energy from raw total energies: 3.36 eV per formula unit
- Spin magnetization: 0.000 μB/f.u.

The structure in extended XYZ format:
```
4
Lattice="-2.826 -3.506 0.681 -4.404 0.762 0.875 -3.152 -1.024 -3.123" Properties=species:S:1:pos:R:3 pbc="T T T"
Mo -7.787 -2.827 -1.175
Mo -2.596 -0.942 -0.392
I -5.191 -1.884 -0.783
Ru 0.000 0.000 0.000
```

Entry 8:
The following is a DFT calculation (PBE) of Cs3Ho2I9 after structural relaxation.

Results
- Total DFT energy (no corrections): -3.32 eV/atom
- Formation energy from raw total energies: -20.84 eV per formula unit
- Spin magnetization: 0.000 μB/f.u.

The structure in extended XYZ format:
```
28
Lattice="-1.088 -0.419 11.170 -10.638 -3.592 0.267 2.215 -10.940 1.243" Properties=species:S:1:pos:R:3 pbc="T T T"
Cs -8.231 -3.830 4.911
Cs -0.840 -5.137 8.913
Cs -8.670 -9.814 3.767
Cs -1.279 -11.121 7.769
Cs -2.817 -9.721 2.026
Cs -6.694 -5.230 10.654
I 0.846 -10.482 4.145
I -4.007 -8.228 9.403
I -5.089 -12.382 9.665
I -4.421 -2.569 3.015
I -5.503 -6.723 3.277
I -10.356 -4.469 8.535
I -4.531 -4.287 6.879
I -4.980 -10.664 5.801
I -1.649 -7.356 5.420
I -0.222 -8.693 11.155
I -9.289 -6.258 1.524
I -0.859 -3.233 4.904
I -7.862 -7.595 7.259
I -5.861 -12.679 2.226
I -1.852 -5.411 1.591
I -8.651 -11.718 7.776
I -7.658 -9.540 11.088
I -3.650 -2.272 10.454
Ho -3.273 -5.146 4.364
Ho -6.237 -9.805 8.316
Ho -8.029 -12.621 10.704
Ho -1.482 -2.330 1.976
```

Entry 9:
The following is a DFT calculation (PBE) of GdYHgPd after structural relaxation.

Results
- Total DFT energy (no corrections): -7.15 eV/atom
- ΔH_f (0 K): -0.638 eV/atom
- Spin magnetization: 7.095 μB/f.u.

The structure in extended XYZ format:
```
4
Lattice="-1.888 -4.697 0.915 2.394 -3.137 3.301 -2.147 -1.068 4.551" Properties=species:S:1:pos:R:3 pbc="T T T"
Pd 0.000 0.000 0.000
Hg -0.820 -4.451 4.383
Y -1.230 -6.676 6.575
Gd -0.410 -2.225 2.192
```

Entry 10:
The following is a DFT calculation (PBE) of SbSe2BrO after structural relaxation.

Results
- Total DFT energy (no corrections): -2.75 eV/atom
- Distance to the lowest polymorph of the same formula: 513.0 meV per atom
- Formation energy from raw total energies: 3.98 eV per formula unit
- Spin magnetization: 3.064 μB/f.u.

The structure in extended XYZ format:
```
5
Lattice="5.368 0.000 0.000 0.000 5.368 0.000 0.000 0.000 5.544" Properties=species:S:1:pos:R:3 pbc="T T T"
Sb 0.000 0.000 0.000
Se 0.000 2.684 0.000
Se 2.684 0.000 0.000
Br 0.000 0.000 2.772
O 2.684 2.684 2.772
```

Entry 11:
The following is a DFT calculation (PBE) of Sm8Ru2Rh after structural relaxation.

Results
- Total DFT energy (no corrections): -6.01 eV/atom
- ΔH_f (0 K): -0.219 eV/atom
- Distance to the lowest polymorph of the same formula: 32.4 meV per atom
- Spin magnetization: 0.000 μB/f.u.

The structure in extended XYZ format:
```
11
Lattice="-3.250 4.933 -1.736 -2.419 -5.197 -5.076 -2.696 -1.102 7.081" Properties=species:S:1:pos:R:3 pbc="T T T"
Sm -2.437 -1.395 0.414
Sm -2.952 0.994 -2.172
Sm -5.264 -3.626 -0.666
Sm -3.025 2.065 1.005
Sm -5.336 -2.557 2.506
Sm -5.849 2.914 2.798
Sm -5.689 0.548 -4.228
Sm -5.903 -0.100 -0.101
Ru -4.135 -1.557 -2.163
Ru -4.241 0.011 2.492
Rh -0.414 0.586 -0.207
```

Entry 12:
The following is a DFT calculation (PBE) of Ti2InSb after structural relaxation.

Results
- Total DFT energy (no corrections): -5.70 eV/atom
- Distance to the lowest polymorph of the same formula: 99.3 meV per atom
- Formation energy from raw total energies: -0.16 eV per formula unit
- Spin magnetization: 0.000 μB/f.u.

The structure in extended XYZ format:
```
4
Lattice="2.666 -1.360 3.765 -0.813 -4.242 2.115 3.185 -3.573 -0.474" Properties=species:S:1:pos:R:3 pbc="T T T"
Sb 2.519 -4.588 2.703
Ti 1.260 -2.294 1.351
Ti 3.779 -6.881 4.054
In 0.000 0.000 0.000
```

Entry 13:
The following is a DFT calculation (PBE) of In2SbSe after structural relaxation.

Results
- Total DFT energy (no corrections): -3.34 eV/atom
- Distance to the lowest polymorph of the same formula: 179.8 meV per atom
- Formation energy from raw total energies: -0.26 eV per formula unit
- Spin magnetization: 0.000 μB/f.u.

The structure in extended XYZ format:
```
4
Lattice="-4.664 7.428 -2.237 -5.717 6.862 1.470 -2.386 8.707 0.652" Properties=species:S:1:pos:R:3 pbc="T T T"
In -3.225 5.809 -0.029
In -0.099 0.178 -0.001
Se -9.325 16.796 -0.084
Sb -6.503 11.714 -0.059
```